[1]
! SrLi2Bi2, optimized geometry, DFT GGA-PBEsol; values from VASP
! Formation energy = -0.5967 eV per atom
! D(E_F) = 2.50 states/eV per cell
! Space-group type = No. 127
! Offset from the most stable computed form = 0.032 eV per atom
&SYSTEM
  ibrav = 0, nat = 10, ntyp = 3
/
ATOMIC_SPECIES
Li 6.94 Li.upf
Sr 87.62 Sr.upf
Bi 208.98 Bi.upf
CELL_PARAMETERS angstrom
-2.1880 -1.2748 2.3251
-2.3919 -6.0446 -5.5649
6.1516 -5.1595 2.9602
ATOMIC_POSITIONS crystal
Li 0.0000 0.6137 0.1137
Sr 0.0000 0.0000 0.0000
Sr 0.0000 0.5000 0.5000
Li 0.0000 0.8863 0.6137
Bi 0.5000 0.1779 0.6779
Li 0.0000 0.3863 0.8863
Bi 0.5000 0.3221 0.1779
Bi 0.5000 0.6779 0.8221
Li 0.0000 0.1137 0.3863
Bi 0.5000 0.8221 0.3221



[2]
! Ta2AlCu, optimized geometry, DFT GGA-PBEsol; values from VASP
! Formation energy = -0.0410 eV per atom
! D(E_F) = 2.54 states/eV per cell
! Space-group type = No. 8
&SYSTEM
  ibrav = 0, nat = 4, ntyp = 3
/
ATOMIC_SPECIES
Ta 180.95 Ta.upf
Cu 63.55 Cu.upf
Al 26.98 Al.upf
CELL_PARAMETERS angstrom
-2.4917 -1.6013 0.1575
2.4322 -3.8659 -0.8266
0.6842 2.1490 4.7439
ATOMIC_POSITIONS crystal
Ta 0.9848 0.9915 0.9696
Cu 0.2390 0.7304 0.4779
Al 0.5239 0.5308 0.0478
Ta 0.7523 0.2472 0.5047



[3]
! La6Mg23P, optimized geometry, DFT GGA-PBEsol; values from VASP
! Formation energy = -0.2111 eV per atom
! D(E_F) = 21.40 states/eV per cell
! Space-group type = No. 225
&SYSTEM
  ibrav = 0, nat = 30, ntyp = 3
/
ATOMIC_SPECIES
Mg 24.30 Mg.upf
La 138.91 La.upf
P 30.97 P.upf
CELL_PARAMETERS angstrom
10.2413 0.0000 0.0000
5.1207 8.8693 0.0000
5.1207 2.9564 8.3620
ATOMIC_POSITIONS crystal
Mg 0.1712 0.1712 0.1712
Mg 0.1359 0.6214 0.6214
Mg 0.6214 0.6214 0.6214
Mg 0.3786 0.8641 0.3786
Mg 0.5135 0.8288 0.8288
Mg 0.5000 0.0000 0.0000
Mg 0.5000 0.5000 0.5000
Mg 0.8641 0.3786 0.3786
La 0.7997 0.2003 0.7997
Mg 0.8288 0.8288 0.8288
Mg 0.1712 0.1712 0.4865
La 0.2003 0.7997 0.2003
Mg 0.0000 0.5000 0.5000
Mg 0.1712 0.4865 0.1712
Mg 0.4865 0.1712 0.1712
Mg 0.5000 0.5000 0.0000
Mg 0.8288 0.8288 0.5135
Mg 0.6214 0.1359 0.6214
Mg 0.0000 0.5000 0.0000
Mg 0.8288 0.5135 0.8288
La 0.2003 0.7997 0.7997
La 0.7997 0.7997 0.2003
Mg 0.6214 0.6214 0.1359
Mg 0.3786 0.3786 0.3786
La 0.7997 0.2003 0.2003
La 0.2003 0.2003 0.7997
Mg 0.5000 0.0000 0.5000
Mg 0.3786 0.3786 0.8641
Mg 0.0000 0.0000 0.5000
P 0.0000 0.0000 0.0000



[4]
! KUCrO6, optimized geometry, DFT GGA-PBEsol; values from VASP
! Space-group type = No. 14
! Formation energy from raw total energies = -2.47 eV/atom
&SYSTEM
  ibrav = 0, nat = 36, ntyp = 4
/
ATOMIC_SPECIES
Cr 52.00 Cr.upf
O 16.00 O.upf
U 238.03 U.upf
K 39.10 K.upf
CELL_PARAMETERS angstrom
6.7038 0.0000 0.1363
0.0000 8.2488 0.0000
-2.2374 0.0000 10.1489
ATOMIC_POSITIONS crystal
Cr 0.3816 0.3575 0.9477
O 0.1455 0.3709 0.9475
O 0.4631 0.9385 0.3973
O 0.5854 0.7889 0.7132
U 0.5122 0.0197 0.8219
O 0.7846 0.0647 0.8621
O 0.5369 0.0615 0.6027
K 0.9737 0.2805 0.1680
U 0.5122 0.4803 0.3219
Cr 0.3816 0.1425 0.4477
O 0.2154 0.9353 0.1379
K 0.9737 0.2195 0.6680
O 0.4649 0.1582 0.0084
K 0.0263 0.7195 0.8320
O 0.7603 0.4743 0.7257
O 0.2154 0.5647 0.6379
O 0.4631 0.5615 0.8973
O 0.5351 0.6582 0.4916
O 0.4649 0.3418 0.5084
O 0.4146 0.2889 0.7868
O 0.8545 0.8709 0.5525
Cr 0.6184 0.6425 0.0523
O 0.5369 0.4385 0.1027
O 0.7603 0.0257 0.2257
K 0.0263 0.7805 0.3320
Cr 0.6184 0.8575 0.5523
U 0.4878 0.5197 0.6781
O 0.2397 0.9743 0.7743
O 0.5351 0.8418 0.9916
O 0.4146 0.2111 0.2868
O 0.7846 0.4353 0.3621
U 0.4878 0.9803 0.1781
O 0.5854 0.7111 0.2132
O 0.2397 0.5257 0.2743
O 0.8545 0.6291 0.0525
O 0.1455 0.1291 0.4475